No. 1
K2ScTl: relaxed, PBE.

Summary:
- energy (eV/cell) = -9.6
- formation enthalpy at 0 K (eV/atom) = 0.3239
- crystal system = tetragonal

a = 7.091 Å, b = 7.091 Å, c = 7.091 Å
α = 141.44°, β = 141.44°, γ = 55.67°
Element x y z (fractional)
K 0.250 0.750 0.500
K 0.750 0.250 0.500
Sc 0.000 0.000 0.000
Tl 0.500 0.500 0.000

=====

No. 2
K2ScTl: relaxed, PBE.

Summary:
- energy (eV/cell) = -9.5
- formation enthalpy at 0 K (eV/atom) = 0.3557
- crystal system = monoclinic

a = 7.359 Å, b = 7.359 Å, c = 3.707 Å
α = 103.16°, β = 103.16°, γ = 126.87°
Element x y z (fractional)
K 0.000 0.500 0.000
K 0.500 0.000 0.000
Sc 0.000 0.000 0.500
Tl 0.500 0.500 0.500

=====

No. 3
KScTl: relaxed, PBE.

Summary:
- energy (eV/cell) = -9.2
- formation enthalpy at 0 K (eV/atom) = 0.2107
- crystal system = trigonal

a = 3.603 Å, b = 3.603 Å, c = 8.704 Å
α = 90.00°, β = 90.00°, γ = 120.00°
Element x y z (fractional)
K 0.000 0.000 0.000
Sc 0.667 0.333 0.394
Tl 0.333 0.667 0.659

=====

No. 4
KScTl2: relaxed, PBE.

Summary:
- energy (eV/cell) = -11.1
- formation enthalpy at 0 K (eV/atom) = 0.2689
- crystal system = cubic

a = 5.527 Å, b = 5.527 Å, c = 5.527 Å
α = 60.00°, β = 60.00°, γ = 60.00°
Element x y z (fractional)
K 0.000 0.000 0.000
Sc 0.250 0.250 0.250
Tl 0.500 0.500 0.500
Tl 0.750 0.750 0.750

=====

No. 5
KScTl: relaxed, PBE.

Summary:
- energy (eV/cell) = -8.4
- formation enthalpy at 0 K (eV/atom) = 0.4544
- crystal system = cubic

a = 5.366 Å, b = 5.366 Å, c = 5.366 Å
α = 60.00°, β = 60.00°, γ = 60.00°
Element x y z (fractional)
K 0.000 0.000 0.000
Sc 0.500 0.500 0.500
Tl 0.250 0.250 0.250

=====

No. 6
K2ScTl2: relaxed, PBE.

Summary:
- energy (eV/cell) = -25.1
- formation enthalpy at 0 K (eV/atom) = 0.1408
- crystal system = tetragonal

a = 7.844 Å, b = 7.844 Å, c = 6.078 Å
α = 90.00°, β = 90.00°, γ = 90.00°
Element x y z (fractional)
K 0.171 0.329 0.000
K 0.329 0.829 0.000
K 0.671 0.171 0.000
K 0.829 0.671 0.000
Sc 0.000 0.000 0.500
Sc 0.500 0.500 0.500
Tl 0.147 0.647 0.500
Tl 0.353 0.147 0.500
Tl 0.647 0.853 0.500
Tl 0.853 0.353 0.500

=====

No. 7
K2ScTl: relaxed, PBE.

Summary:
- energy (eV/cell) = -9.2
- formation enthalpy at 0 K (eV/atom) = 0.4114
- crystal system = tetragonal

a = 3.472 Å, b = 3.472 Å, c = 12.529 Å
α = 90.00°, β = 90.00°, γ = 90.00°
Element x y z (fractional)
K 0.000 0.000 0.236
K 0.000 0.000 0.764
Sc 0.500 0.500 0.500
Tl 0.500 0.500 0.000

=====

No. 8
KSc4Tl: relaxed, PBE.

Summary:
- energy (eV/cell) = -26.3
- formation enthalpy at 0 K (eV/atom) = 0.4137
- crystal system = cubic

a = 6.217 Å, b = 6.217 Å, c = 6.217 Å
α = 60.00°, β = 60.00°, γ = 60.00°
Element x y z (fractional)
K 0.000 0.000 0.000
Sc 0.131 0.623 0.623
Sc 0.623 0.131 0.623
Sc 0.623 0.623 0.131
Sc 0.623 0.623 0.623
Tl 0.250 0.250 0.250

=====

No. 9
KScTl2: relaxed, PBE.

Summary:
- energy (eV/cell) = -11.7
- formation enthalpy at 0 K (eV/atom) = 0.1107
- crystal system = tetragonal

a = 4.055 Å, b = 4.055 Å, c = 8.308 Å
α = 90.00°, β = 90.00°, γ = 90.00°
Element x y z (fractional)
K 0.000 0.000 0.000
Sc 0.500 0.500 0.357
Tl 0.000 0.000 0.469
Tl 0.500 0.500 0.715

=====

No. 10
KScTl2: relaxed, PBE.

Summary:
- energy (eV/cell) = -12.2
- formation enthalpy at 0 K (eV/atom) = -0.0015
- crystal system = monoclinic

a = 5.101 Å, b = 5.101 Å, c = 7.958 Å
α = 96.36°, β = 96.36°, γ = 38.89°
Element x y z (fractional)
K 0.000 0.000 0.000
Sc 0.500 0.500 0.500
Tl 0.245 0.245 0.690
Tl 0.755 0.755 0.310

=====

No. 11
KScTl2: relaxed, PBE.

Summary:
- energy (eV/cell) = -11.4
- formation enthalpy at 0 K (eV/atom) = 0.1809
- crystal system = tetragonal

a = 6.207 Å, b = 6.207 Å, c = 6.207 Å
α = 135.19°, β = 135.19°, γ = 65.23°
Element x y z (fractional)
K 0.000 0.000 0.000
Sc 0.250 0.750 0.500
Tl 0.500 0.500 0.000
Tl 0.750 0.250 0.500

=====

No. 12
K2ScTl: relaxed, PBE.

Summary:
- energy (eV/cell) = -9.8
- formation enthalpy at 0 K (eV/atom) = 0.2776
- crystal system = orthorhombic

a = 7.604 Å, b = 7.604 Å, c = 7.604 Å
α = 151.46°, β = 128.39°, γ = 60.03°
Element x y z (fractional)
K 0.000 0.000 0.000
K 0.704 0.204 0.500
Sc 0.296 0.796 0.500
Tl 0.465 0.465 0.000

=====

- Which value of formation enthalpy at 0 K does entry 12 give?
  0.2776 eV/atom

=====

- What is the formation enthalpy at 0 K in the third record?
  0.2107 eV/atom

=====

- What is the formula in the eleventh record?
  KScTl2